Record 1
Below is a geometry-optimized Zr2ScCr structure, with properties calculated at the GGA-PBE level.

The structure in POSCAR format:
```
Zr2ScCr
1.0
-3.813 3.813 2.943
3.813 -3.813 2.943
3.813 3.813 -2.943
Zr Sc Cr
4 2 2
Direct
0.086 0.625 0.961
0.375 0.336 0.461
0.664 0.125 0.039
0.875 0.914 0.539
0.250 0.750 0.500
0.500 0.500 0.000
0.000 0.000 0.000
0.750 0.250 0.500
```

V   21.39 Å³ per atom
Energy relative to the elements   0.50 eV per atom
Distance to the lowest polymorph of the same formula   359 meV/atom

***

Record 2
Below is a geometry-optimized LiCdAgBi structure, with properties calculated at the GGA-PBE level.

The structure in POSCAR format:
```
LiCdAgBi
1.0
0.000 3.528 3.528
3.528 0.000 3.528
3.528 3.528 0.000
Li Cd Ag Bi
1 1 1 1
Direct
0.000 0.000 0.000
0.750 0.750 0.750
0.500 0.500 0.500
0.250 0.250 0.250
```

V   21.96 Å³ per atom
Energy relative to the elements   -0.12 eV per atom
Distance to the lowest polymorph of the same formula   13 meV/atom

***

Record 3
Below is a geometry-optimized La2Tb2Tl structure, with properties calculated at the GGA-PBE level.

The structure in POSCAR format:
```
La2Tb2Tl
1.0
5.656 -2.441 0.000
5.656 2.441 0.000
-5.540 0.000 5.688
La Tb Tl
2 2 1
Direct
0.116 0.116 0.311
0.884 0.884 0.689
0.301 0.301 0.915
0.699 0.699 0.085
0.500 0.500 0.500
```

V   31.42 Å³ per atom
Energy relative to the elements   -0.13 eV per atom
Distance to the lowest polymorph of the same formula   0 meV/atom

***

Record 4
Below is a geometry-optimized Sc2MnInH structure, with properties calculated at the GGA-PBE level.

The structure in POSCAR format:
```
Sc2MnInH
1.0
4.465 0.000 0.000
0.000 4.465 0.000
0.000 0.000 4.050
Sc Mn In H
2 1 1 1
Direct
0.000 0.500 0.000
0.500 0.000 0.000
0.000 0.000 0.500
0.500 0.500 0.500
0.000 0.000 0.000
```

V   16.15 Å³ per atom
Total DFT energy (no corrections)   -5.859 eV per atom

***

Record 5
Below is a geometry-optimized ErHf structure, with properties calculated at the GGA-PBE level.

The structure in POSCAR format:
```
ErHf
1.0
3.336 0.000 0.000
0.000 5.225 0.000
0.000 0.000 5.932
Er Hf
2 2
Direct
0.250 0.250 0.098
0.750 0.750 0.902
0.250 0.750 0.429
0.750 0.250 0.571
```

V   25.85 Å³ per atom
Energy relative to the elements   0.09 eV per atom

***

Record 6
Below is a geometry-optimized AcBiPtO6 structure, with properties calculated at the GGA-PBE level.

The structure in POSCAR format:
```
AcBiPtO6
1.0
5.194 0.000 0.000
0.000 5.194 0.000
0.000 0.000 10.428
Ac Bi Pt O
2 2 2 12
Direct
0.000 0.000 0.000
0.500 0.500 0.500
0.000 0.000 0.335
0.500 0.500 0.835
0.000 0.000 0.669
0.500 0.500 0.169
0.173 0.173 0.521
0.191 0.191 0.811
0.227 0.227 0.176
0.273 0.727 0.676
0.309 0.691 0.311
0.327 0.673 0.021
0.673 0.327 0.021
0.691 0.309 0.311
0.727 0.273 0.676
0.773 0.773 0.176
0.809 0.809 0.811
0.827 0.827 0.521
```

V   15.63 Å³ per atom
Formation energy (no corrections)   -1339 meV/atom